1.
DFT (PBE) results for Zr2TcGeC after structural relaxation.

The structure belongs to space group P4/mmm (No. 123); the cell edges are 5.113, 5.113 and 3.628 Å and the angles 90.00°, 90.00° and 90.00°. The inequivalent atoms are Zr at (0.000, 0.500, 0.000), Tc at (0.000, 0.000, 0.500), Ge at (0.500, 0.500, 0.000) and C at (0.500, 0.500, 0.500).

The crystal system is tetragonal. Its total DFT energy (no corrections) is -7.070 eV per atom. Its formation enthalpy at 0 K is 5.952 eV per formula unit. Its total magnetization is 0.6 μB/cell.

2.
DFT (PBE) results for GeTe3C after structural relaxation.

The structure belongs to space group Pm-3m (No. 221); the cell edges are 4.822, 4.822 and 4.822 Å and the angles 90.00°, 90.00° and 90.00°. The inequivalent atoms are Ge at (0.000, 0.000, 0.000), Te at (0.000, 0.500, 0.500) and C at (0.500, 0.500, 0.500).

The crystal system is cubic. Its total DFT energy (no corrections) is -3.687 eV per atom. For the distance to the lowest polymorph of the same formula, the calculation gives 0.00 eV/f.u. Its total magnetization is 0.0 μB/cell. The energy relative to the elements, uncorrected comes out at 0.966 eV/atom.

3.
DFT (PBE) results for GeTe3C after structural relaxation.

The structure belongs to space group Pm-3m (No. 221); the cell edges are 5.398, 5.398 and 5.398 Å and the angles 90.00°, 90.00° and 90.00°. The inequivalent atoms are Ge at (0.000, 0.000, 0.000), Te at (0.000, 0.000, 0.500) and C at (0.500, 0.500, 0.500).

The crystal system is cubic. Its total DFT energy (no corrections) is -2.811 eV per atom. For the distance to the lowest polymorph of the same formula, the calculation gives 4.38 eV/f.u. Its total magnetization is 1.1 μB/cell. The energy relative to the elements, uncorrected comes out at 1.843 eV/atom.

4.
DFT (PBE) results for Th6Ge2TeC3 after structural relaxation.

The structure belongs to space group C2/m (No. 12); the cell edges are 18.251, 3.848 and 8.591 Å and the angles 90.00°, 108.35° and 90.00°. The inequivalent atoms are Th at (0.008, 0.000, 0.210), Th at (0.158, 0.500, 0.111), Th at (0.178, 0.500, 0.559), Ge at (0.166, 0.000, 0.834), Te at (0.000, 0.500, 0.500), C at (0.000, 0.500, 0.000) and C at (0.170, 0.000, 0.337).

The crystal system is monoclinic. Its total DFT energy (no corrections) is -7.601 eV per atom. Its total magnetization is 0.0 μB/cell. The energy relative to the elements, uncorrected comes out at -0.554 eV/atom.

5.
DFT (PBE) results for Th8GeTe4C3 after structural relaxation.

The structure belongs to space group R-3m (No. 166, hexagonal axes); the cell edges are 8.1006, 8.1006 and 22.2430 Å and the angles 90.00°, 90.00° and 120.00°. The inequivalent atoms are Th at (0.0000, 0.0000, 0.2287), Th at (0.0234, 0.5117, 0.7697), Ge at (0.0000, 0.0000, 0.5000), Te at (0.0000, 0.0000, 0.0000), Te at (0.0000, 0.5000, 0.0000) and C at (0.0000, 0.5000, 0.5000).

The crystal system is trigonal. Its total DFT energy (no corrections) is -7.340 eV per atom. Its total magnetization is 0.0 μB/cell. The energy relative to the elements, uncorrected comes out at -0.827 eV/atom.

6.
DFT (PBE) results for Th8Ge3Te4C after structural relaxation.

The structure belongs to space group R-3m (No. 166, hexagonal axes); the cell edges are 8.5292, 8.5292 and 22.1275 Å and the angles 90.00°, 90.00° and 120.00°. The inequivalent atoms are Th at (0.0000, 0.0000, 0.2392), Th at (0.0315, 0.5158, 0.2338), Ge at (0.0000, 0.5000, 0.5000), Te at (0.0000, 0.0000, 0.0000), Te at (0.0000, 0.5000, 0.0000) and C at (0.0000, 0.0000, 0.5000).

The crystal system is trigonal. Its total DFT energy (no corrections) is -6.874 eV per atom. Its total magnetization is 0.0 μB/cell. The energy relative to the elements, uncorrected comes out at -0.936 eV/atom.

7.
DFT (PBE) results for Th4GeTe2C after structural relaxation.

The structure belongs to space group P2/m (No. 10); the cell edges are 7.267, 4.121 and 7.779 Å and the angles 90.00°, 107.82° and 90.00°. The inequivalent atoms are Th at (0.209, 0.000, 0.194), Th at (0.233, 0.500, 0.799), Ge at (0.500, 0.000, 0.000), Te at (0.000, 0.000, 0.500), Te at (0.500, 0.500, 0.500) and C at (0.000, 0.500, 0.000).

The crystal system is monoclinic. Its total DFT energy (no corrections) is -7.096 eV per atom. Its total magnetization is 0.0 μB/cell. The energy relative to the elements, uncorrected comes out at -0.870 eV/atom.

8.
DFT (PBE) results for Tm8Ge3Te3C after structural relaxation.

The structure belongs to space group R-3m (No. 166, hexagonal axes); the cell edges are 8.1649, 8.1649 and 21.1456 Å and the angles 90.00°, 90.00° and 120.00°. The inequivalent atoms are Tm at (0.0000, 0.0000, 0.2393), Tm at (0.0363, 0.5182, 0.2312), Ge at (0.0000, 0.5000, 0.5000), Te at (0.0000, 0.5000, 0.0000) and C at (0.0000, 0.0000, 0.5000).

The crystal system is trigonal. Its total DFT energy (no corrections) is -5.453 eV per atom. Its total magnetization is 0.7 μB/cell. The energy relative to the elements, uncorrected comes out at -0.902 eV/atom.